Entry 1:
Computed, not measured: a relaxed CeUPa crystal at the PBE-GGA level of DFT.

abc: 5.222 5.222 2.975
angles: 90.00 90.00 120.00
Fractional positions:
1 Ce 0.000 0.000 0.000
2 U 0.667 0.333 0.500
3 Pa 0.333 0.667 0.500

Results
Total magnetization: 1.13 μB/f.u.
E: -25.82 eV/cell
Energy above the lowest structure with this stoichiometry: 0.191 eV/atom

---

Entry 2:
Computed, not measured: a relaxed CeU4Pa crystal at the PBE-GGA level of DFT.

abc: 5.726 5.726 5.726
angles: 60.00 60.00 60.00
Fractional positions:
1 Ce 0.000 0.000 0.000
2 U 0.375 0.375 0.375
3 U 0.375 0.375 0.875
4 U 0.375 0.875 0.375
5 U 0.875 0.375 0.375
6 Pa 0.750 0.750 0.750

Results
Total magnetization: 2.57 μB/f.u.
E: -59.74 eV/cell

---

Entry 3:
Computed, not measured: a relaxed CeUPa crystal at the PBE-GGA level of DFT.

abc: 3.343 3.343 12.792
angles: 90.00 90.00 92.51
Fractional positions:
1 Ce 0.250 0.750 0.909
2 Ce 0.750 0.250 0.091
3 U 0.250 0.750 0.560
4 U 0.750 0.250 0.440
5 Pa 0.250 0.750 0.272
6 Pa 0.750 0.250 0.728

Results
Total magnetization: 0.00 μB/f.u.
E: -52.80 eV/cell
Energy above the lowest structure with this stoichiometry: 0.000 eV/atom

---

Entry 4:
Computed, not measured: a relaxed CeUPa crystal at the PBE-GGA level of DFT.

abc: 7.568 7.568 7.568
angles: 155.89 155.89 34.36
Fractional positions:
1 Ce 0.000 0.000 0.000
2 U 0.334 0.334 0.000
3 Pa 0.673 0.673 0.000

Results
Total magnetization: 1.16 μB/f.u.
E: -26.21 eV/cell
Energy above the lowest structure with this stoichiometry: 0.063 eV/atom

---

Entry 5:
Computed, not measured: a relaxed CePaV4 crystal at the PBE-GGA level of DFT.

abc: 5.291 5.291 5.291
angles: 60.00 60.00 60.00
Fractional positions:
1 Ce 0.000 0.000 0.000
2 Pa 0.750 0.750 0.750
3 V 0.376 0.376 0.376
4 V 0.376 0.376 0.873
5 V 0.376 0.873 0.376
6 V 0.873 0.376 0.376

Results
Total magnetization: 0.00 μB/f.u.
E: -51.06 eV/cell

---

Entry 6:
Computed, not measured: a relaxed CeYPa crystal at the PBE-GGA level of DFT.

abc: 8.123 8.123 8.123
angles: 156.70 156.70 33.19
Fractional positions:
1 Ce 0.000 0.000 0.000
2 Y 0.313 0.313 0.000
3 Pa 0.652 0.652 0.000

Results
Total magnetization: 0.04 μB/f.u.
E: -21.48 eV/cell
Energy above the lowest structure with this stoichiometry: 0.007 eV/atom

---

Entry 7:
Computed, not measured: a relaxed CeYPa crystal at the PBE-GGA level of DFT.

abc: 5.370 5.370 3.359
angles: 90.00 90.00 120.00
Fractional positions:
1 Ce 0.000 0.000 0.000
2 Y 0.667 0.333 0.500
3 Pa 0.333 0.667 0.000

Results
Total magnetization: 0.02 μB/f.u.
E: -21.22 eV/cell
Energy above the lowest structure with this stoichiometry: 0.096 eV/atom

---

Entry 8:
Computed, not measured: a relaxed CeYPa crystal at the PBE-GGA level of DFT.

abc: 8.577 8.577 5.348
angles: 90.00 90.00 153.94
Fractional positions:
1 Ce 0.131 0.869 0.750
2 Ce 0.869 0.131 0.250
3 Y 0.431 0.569 0.750
4 Y 0.569 0.431 0.250
5 Pa 0.250 0.750 0.250
6 Pa 0.750 0.250 0.750

Results
Total magnetization: 0.00 μB/f.u.
E: -43.01 eV/cell
Energy above the lowest structure with this stoichiometry: 0.000 eV/atom

---

Entry 9:
Computed, not measured: a relaxed CeYPa4 crystal at the PBE-GGA level of DFT.

abc: 6.116 6.116 6.116
angles: 60.00 60.00 60.00
Fractional positions:
1 Ce 0.000 0.000 0.000
2 Y 0.250 0.250 0.250
3 Pa 0.126 0.625 0.625
4 Pa 0.625 0.126 0.625
5 Pa 0.625 0.625 0.126
6 Pa 0.625 0.625 0.625

Results
Total magnetization: 0.00 μB/f.u.
E: -49.14 eV/cell

---

Entry 10:
Computed, not measured: a relaxed CePaZn2 crystal at the PBE-GGA level of DFT.

abc: 4.312 4.312 4.496
angles: 90.00 90.00 90.00
Fractional positions:
1 Ce 0.000 0.000 0.000
2 Pa 0.500 0.500 0.000
3 Zn 0.000 0.500 0.500
4 Zn 0.500 0.000 0.500

Results
Total magnetization: 0.00 μB/f.u.
E: -18.27 eV/cell
Energy above the lowest structure with this stoichiometry: 0.028 eV/atom

---

Entry 11:
Computed, not measured: a relaxed CePaZn2 crystal at the PBE-GGA level of DFT.

abc: 5.024 5.024 5.024
angles: 60.00 60.00 60.00
Fractional positions:
1 Ce 0.000 0.000 0.000
2 Pa 0.500 0.500 0.500
3 Zn 0.250 0.250 0.250
4 Zn 0.750 0.750 0.750

Results
Total magnetization: 0.49 μB/f.u.
E: -17.87 eV/cell
Energy above the lowest structure with this stoichiometry: 0.129 eV/atom

---

Entry 12:
Computed, not measured: a relaxed CePa2Zn crystal at the PBE-GGA level of DFT.

abc: 3.022 3.022 9.928
angles: 90.00 90.00 90.00
Fractional positions:
1 Ce 0.000 0.000 0.000
2 Pa 0.500 0.500 0.270
3 Pa 0.500 0.500 0.730
4 Zn 0.000 0.000 0.500

Results
Total magnetization: 0.00 μB/f.u.
E: -25.83 eV/cell
Energy above the lowest structure with this stoichiometry: 0.007 eV/atom

---

Entry 13:
Computed, not measured: a relaxed CePa2Zn crystal at the PBE-GGA level of DFT.

abc: 11.062 11.062 11.062
angles: 16.40 16.40 16.40
Fractional positions:
1 Ce 0.000 0.000 0.000
2 Pa 0.245 0.245 0.245
3 Pa 0.755 0.755 0.755
4 Zn 0.500 0.500 0.500

Results
Total magnetization: 0.00 μB/f.u.
E: -25.73 eV/cell
Energy above the lowest structure with this stoichiometry: 0.032 eV/atom

---

Entry 14:
Computed, not measured: a relaxed CePaZn2 crystal at the PBE-GGA level of DFT.

abc: 10.758 10.758 10.758
angles: 16.26 16.26 16.26
Fractional positions:
1 Ce 0.000 0.000 0.000
2 Pa 0.500 0.500 0.500
3 Zn 0.249 0.249 0.249
4 Zn 0.751 0.751 0.751

Results
Total magnetization: 0.00 μB/f.u.
E: -17.97 eV/cell
Energy above the lowest structure with this stoichiometry: 0.104 eV/atom

---

Entry 15:
Computed, not measured: a relaxed CePa2Zn crystal at the PBE-GGA level of DFT.

abc: 4.450 4.450 4.700
angles: 90.00 90.00 90.00
Fractional positions:
1 Ce 0.000 0.000 0.000
2 Pa 0.000 0.500 0.500
3 Pa 0.500 0.000 0.500
4 Zn 0.500 0.500 0.000

Results
Total magnetization: 0.00 μB/f.u.
E: -25.86 eV/cell
Energy above the lowest structure with this stoichiometry: 0.000 eV/atom